Record 1
The following is a DFT calculation (PBE) of ReSb2PI after structural relaxation.

a b c (Å): 5.668 5.068 5.668
angles (deg): 90.00 90.00 90.00
Site moments in Bohr magnetons follow the coordinates.
Positions (direct):
Sb1 0.500 0.000 0.000  -0.15
Sb2 0.000 0.000 0.500  -0.19
I1 0.000 0.000 0.000  -0.01
P1 0.000 0.500 0.000  -0.10
Re1 0.500 0.500 0.500  3.59

Formation energy (no corrections)   2.24 eV per atom



Record 2
The following is a DFT calculation (PBE) of CrFeCu after structural relaxation.

a b c (Å): 4.384 4.384 4.384
angles (deg): 147.44 129.34 61.52
Site moments in Bohr magnetons follow the coordinates.
Positions (direct):
Cu1 0.333 0.333 0.000  -0.02
Cr1 0.999 0.999 0.000  -1.03
Fe1 0.668 0.668 0.000  1.93

Energy of formation from the pure elements   4.61 kcal/mol of atoms



Record 3
The following is a DFT calculation (PBE) of Mg5Mn3 after structural relaxation.

a b c (Å): 8.105 8.105 5.390
angles (deg): 90.00 90.00 120.01
Site moments in Bohr magnetons follow the coordinates.
Positions (direct):
Mg1 0.000 0.244 0.250  -0.03
Mg2 0.756 0.000 0.750  -0.03
Mg3 0.244 0.244 0.750  -0.03
Mg4 0.667 0.333 0.500  -0.04
Mg5 0.333 0.667 0.500  -0.04
Mg6 0.000 0.756 0.750  -0.03
Mg7 0.244 0.000 0.250  -0.03
Mg8 0.333 0.667 0.000  -0.04
Mg9 0.667 0.333 0.000  -0.04
Mg10 0.756 0.756 0.250  -0.03
Mn1 0.410 0.410 0.250  3.48
Mn2 0.000 0.410 0.750  3.48
Mn3 0.410 0.000 0.750  3.48
Mn4 0.590 0.590 0.750  3.48
Mn5 0.590 0.000 0.250  3.48
Mn6 0.000 0.590 0.250  3.48

Energy of formation from the pure elements   7.29 kcal/mol of atoms



Record 4
The following is a DFT calculation (PBE) of CeMgInPt after structural relaxation.

a b c (Å): 5.006 5.006 5.006
angles (deg): 60.00 60.00 60.00
Site moments in Bohr magnetons follow the coordinates.
Positions (direct):
Mg1 0.250 0.250 0.250  0.00
Ce1 0.750 0.750 0.750  0.47
Pt1 0.000 0.000 0.000  0.00
In1 0.500 0.500 0.500  0.01

Energy of formation from the pure elements   -13.06 kcal/mol of atoms



Respective V values: 32.57, 11.57, 19.17, 22.18 Å³/atom.